(1)
{"formula": "Mn6Si7Ni16", "functional": "SCAN", "state": "single point on PBEsol structure", "formation_energy_uncorrected_ev_per_fu": -16.76, "cell": [[7.7325, 0.0000, 0.0000], [3.8662, 6.6965, 0.0000], [3.8662, 2.2322, 6.3136]], "species": ["Ni", "Si", "Ni", "Ni", "Ni", "Si", "Ni", "Mn", "Si", "Ni", "Ni", "Si", "Ni", "Ni", "Ni", "Ni", "Si", "Ni", "Ni", "Mn", "Ni", "Mn", "Mn", "Si", "Si", "Mn", "Ni", "Mn", "Ni"], "fractional_positions": [[0.1653, 0.5041, 0.1653], [0.5000, 0.0000, 0.5000], [0.5041, 0.1653, 0.1653], [0.1471, 0.6176, 0.6176], [0.8347, 0.8347, 0.4959], [0.0000, 0.5000, 0.5000], [0.6176, 0.6176, 0.1471], [0.1940, 0.1940, 0.8060], [0.5000, 0.5000, 0.5000], [0.8347, 0.8347, 0.8347], [0.8347, 0.4959, 0.8347], [0.5000, 0.5000, 0.0000], [0.3824, 0.3824, 0.3824], [0.6176, 0.1471, 0.6176], [0.1653, 0.1653, 0.5041], [0.4959, 0.8347, 0.8347], [0.5000, 0.0000, 0.0000], [0.1653, 0.1653, 0.1653], [0.3824, 0.3824, 0.8529], [0.8060, 0.1940, 0.1940], [0.6176, 0.6176, 0.6176], [0.8060, 0.1940, 0.8060], [0.8060, 0.8060, 0.1940], [0.0000, 0.5000, 0.0000], [0.0000, 0.0000, 0.5000], [0.1940, 0.8060, 0.1940], [0.3824, 0.8529, 0.3824], [0.1940, 0.8060, 0.8060], [0.8529, 0.3824, 0.3824]]}


(2)
{"formula": "FeB18H32C8S2", "functional": "SCAN", "state": "single point on PBEsol structure", "cell": [[-4.5952, 1.8994, -6.4028], [-2.2366, -10.1120, -1.3945], [-10.4911, 1.2317, 7.8946]], "species": ["B", "H", "H", "S", "C", "H", "H", "H", "H", "H", "B", "H", "B", "H", "H", "B", "B", "H", "Fe", "B", "H", "H", "H", "H", "H", "B", "H", "Fe", "B", "B", "B", "H", "H", "B", "H", "H", "H", "C", "H", "B", "B", "C", "B", "C", "H", "B", "H", "B", "B", "H", "H", "H", "H", "H", "B", "H", "C", "B", "B", "H", "B", "H", "H", "H", "H", "H", "H", "H", "H", "H", "B", "C", "C", "C", "H", "B", "B", "H", "H", "H", "H", "C", "B", "C", "B", "B", "S", "B", "B", "H", "H", "B", "H", "C", "B", "H", "C", "H", "H", "B", "H", "H", "C", "S", "H", "C", "H", "B", "H", "H", "H", "H", "B", "H", "B", "S", "B", "H", "C", "H", "C", "H"], "fractional_positions": [[0.9698, 0.8021, 0.5075], [0.6837, 0.1165, 0.5419], [0.3947, 0.3827, 0.3027], [0.6186, 0.4687, 0.7137], [0.0145, 0.3578, 0.4844], [0.8649, 0.6894, 0.3698], [0.4372, 0.2806, 0.8327], [0.8768, 0.0549, 0.3447], [0.2391, 0.9917, 0.3671], [0.1263, 0.3793, 0.5277], [0.2466, 0.6940, 0.0095], [0.3289, 0.5416, 0.2635], [0.9698, 0.1979, 0.4925], [0.6084, 0.6307, 0.8428], [0.6711, 0.9584, 0.7635], [0.6775, 0.6454, 0.5151], [0.9611, 0.2336, 0.8788], [0.8737, 0.1207, 0.0277], [0.1508, 0.0000, 0.0000], [0.6775, 0.3546, 0.4849], [0.3947, 0.6173, 0.6973], [0.8244, 0.7414, 0.1500], [0.5450, 0.5268, 0.1134], [0.9442, 0.0011, 0.1702], [0.8740, 0.2956, 0.2126], [0.8660, 0.6989, 0.6965], [0.3916, 0.8693, 0.3428], [0.8492, 0.5000, 0.5000], [0.3225, 0.8546, 0.0151], [0.8660, 0.3011, 0.3035], [0.0389, 0.2664, 0.3788], [0.6711, 0.0416, 0.2365], [0.3881, 0.5116, 0.3936], [0.7480, 0.4191, 0.3687], [0.3881, 0.4884, 0.6064], [0.4540, 0.1345, 0.0266], [0.4550, 0.9732, 0.6134], [0.5894, 0.9863, 0.1862], [0.4550, 0.0268, 0.3866], [0.2520, 0.0809, 0.8687], [0.2520, 0.9191, 0.1313], [0.5894, 0.0137, 0.8138], [0.0348, 0.0727, 0.8724], [0.8537, 0.3170, 0.5476], [0.5450, 0.4732, 0.8866], [0.1340, 0.1989, 0.8035], [0.4540, 0.8655, 0.9734], [0.6876, 0.7436, 0.6270], [0.3225, 0.1454, 0.9849], [0.7609, 0.5083, 0.8671], [0.8244, 0.2586, 0.8500], [0.6119, 0.0116, 0.1064], [0.9442, 0.9989, 0.8298], [0.2391, 0.0083, 0.6329], [0.9611, 0.7664, 0.1212], [0.1756, 0.7586, 0.6500], [0.8537, 0.6830, 0.4524], [0.8675, 0.1612, 0.3789], [0.7534, 0.1940, 0.4905], [0.1756, 0.2414, 0.3500], [0.2466, 0.3060, 0.9905], [0.3916, 0.1307, 0.6572], [0.0523, 0.1317, 0.5460], [0.5628, 0.2194, 0.3327], [0.6084, 0.3693, 0.1572], [0.1260, 0.7956, 0.2874], [0.9477, 0.3683, 0.0460], [0.8768, 0.9451, 0.6553], [0.6837, 0.8835, 0.4581], [0.3163, 0.3835, 0.0419], [0.3124, 0.2436, 0.8730], [0.9855, 0.8578, 0.0156], [0.1463, 0.8170, 0.9524], [0.3654, 0.9726, 0.3408], [0.5628, 0.7806, 0.6673], [0.0389, 0.7336, 0.6212], [0.1325, 0.6612, 0.1211], [0.1260, 0.2044, 0.7126], [0.1263, 0.6207, 0.4723], [0.5460, 0.6345, 0.4734], [0.0523, 0.8683, 0.4540], [0.1463, 0.1830, 0.0476], [0.3124, 0.7564, 0.1270], [0.9855, 0.1422, 0.9844], [0.0302, 0.6979, 0.0075], [0.0302, 0.3021, 0.9925], [0.3814, 0.9687, 0.7863], [0.7534, 0.8060, 0.5095], [0.1340, 0.8011, 0.1965], [0.8740, 0.7044, 0.7874], [0.1351, 0.8106, 0.8698], [0.8675, 0.8388, 0.6211], [0.3289, 0.4584, 0.7365], [0.4106, 0.4863, 0.3138], [0.6876, 0.2564, 0.3730], [0.1232, 0.5549, 0.1553], [0.6346, 0.5274, 0.8408], [0.6053, 0.8827, 0.1973], [0.0558, 0.5011, 0.3298], [0.9652, 0.4273, 0.3724], [0.4372, 0.7194, 0.1673], [0.7609, 0.4917, 0.1329], [0.4106, 0.5137, 0.6862], [0.6186, 0.5313, 0.2863], [0.8737, 0.8793, 0.9723], [0.6346, 0.4726, 0.1592], [0.6119, 0.9884, 0.8936], [0.1325, 0.3388, 0.8789], [0.5460, 0.3655, 0.5266], [0.1232, 0.4451, 0.8447], [0.8649, 0.3106, 0.6302], [0.6053, 0.1173, 0.8027], [0.7480, 0.5809, 0.6313], [0.0558, 0.4989, 0.6702], [0.0348, 0.9273, 0.1276], [0.3814, 0.0313, 0.2137], [0.9652, 0.5727, 0.6276], [0.3163, 0.6165, 0.9581], [0.3654, 0.0274, 0.6592], [0.9477, 0.6317, 0.9540], [0.0145, 0.6422, 0.5156], [0.1351, 0.1894, 0.1302]]}


(3)
{"formula": "CrCuCl", "functional": "SCAN", "state": "single point on PBEsol structure", "formation_energy_uncorrected_ev_per_fu": 0.15, "cell": [[2.9728, 0.0000, 0.0000], [0.0000, 2.9728, 0.0000], [-1.4864, -1.4864, 5.3558]], "species": ["Cl", "Cu", "Cr"], "fractional_positions": [[0.0213, 0.0213, 0.0425], [0.3122, 0.3122, 0.6245], [0.6665, 0.6665, 0.3330]]}


(4)
{"formula": "AgRh", "functional": "SCAN", "state": "single point on PBEsol structure", "formation_energy_ev_per_atom": 0.256, "cell": [[-2.6778, -0.5438, -0.1038], [-1.1387, -0.8197, -2.3471], [-0.4262, -4.8339, 0.3022]], "species": ["Rh", "Ag"], "fractional_positions": [[0.5000, 0.5000, 0.5000], [0.0000, 0.0000, 0.0000]]}


(5)
{"formula": "KCu", "functional": "SCAN", "state": "single point on PBEsol structure", "formation_energy_ev_per_atom": 0.380, "cell": [[4.3339, 0.0000, 0.0000], [0.0000, 5.5446, -0.0863], [-2.1670, -2.7003, 4.7550]], "species": ["K", "K", "Cu", "Cu"], "fractional_positions": [[0.5944, 0.8446, 0.1889], [0.4056, 0.1554, 0.8111], [0.7927, 0.5428, 0.5854], [0.2073, 0.4572, 0.4146]]}


(6)
{"formula": "KTl2Ag", "functional": "SCAN", "state": "single point on PBEsol structure", "formation_energy_ev_per_atom": -0.030, "cell": [[3.5301, 0.0000, 0.0000], [0.0000, 5.7061, 0.0000], [-1.7651, -2.8531, 5.4705]], "species": ["Tl", "Tl", "K", "Ag"], "fractional_positions": [[0.2118, 0.2118, 0.4235], [0.7882, 0.7882, 0.5765], [0.0000, 0.5000, 0.0000], [0.5000, 0.0000, 0.0000]]}


(7)
{"formula": "MgSi2P", "functional": "SCAN", "state": "single point on PBEsol structure", "formation_energy_uncorrected_ev_per_fu": 1.04, "cell": [[3.2158, 0.0000, 0.0000], [-1.6079, 4.5310, 0.0536], [0.0000, -1.7746, 4.5048]], "species": ["P", "Si", "Mg", "Si"], "fractional_positions": [[0.2765, 0.5529, 0.8130], [0.7305, 0.4610, 0.1534], [0.5039, 0.0078, 0.5200], [0.9891, 0.9783, 0.0137]]}


(8)
{"formula": "BaAl2", "functional": "SCAN", "state": "single point on PBEsol structure", "formation_energy_ev_per_atom": -0.224, "cell": [[4.4214, 0.0000, 0.0000], [-2.2107, 5.9519, 0.0458], [0.0000, -1.2210, 6.7245]], "species": ["Al", "Al", "Ba", "Al", "Ba", "Al"], "fractional_positions": [[0.9081, 0.8163, 0.0881], [0.7058, 0.4116, 0.8530], [0.6133, 0.2267, 0.3258], [0.0919, 0.1837, 0.9119], [0.3867, 0.7733, 0.6742], [0.2942, 0.5884, 0.1470]]}


(9)
{"formula": "CoHgSbI2", "functional": "SCAN", "state": "single point on PBEsol structure", "formation_energy_uncorrected_ev_per_fu": 5.40, "cell": [[-1.7281, 5.1639, -0.8568], [0.7846, -0.6710, -5.6266], [-5.3752, -1.8858, -0.5246]], "species": ["Co", "I", "Sb", "I", "Hg"], "fractional_positions": [[0.5000, 0.5000, 0.5000], [0.0000, 0.5000, 0.0000], [0.5000, 0.0000, 0.0000], [0.0000, 0.0000, 0.5000], [0.0000, 0.0000, 0.0000]]}


(10)
{"formula": "Ba2Cu2Te2P2O13", "functional": "SCAN", "state": "single point on PBEsol structure", "formation_energy_uncorrected_ev_per_fu": -43.84, "cell": [[-3.1956, 6.5451, -0.8549], [-3.1423, -0.4133, 8.5811], [9.3312, 0.6884, 1.8450]], "species": ["O", "O", "Cu", "Ba", "O", "P", "P", "Te", "O", "O", "O", "O", "O", "O", "O", "O", "O", "O", "O", "O", "O", "O", "Ba", "Te", "Te", "P", "O", "Cu", "O", "O", "P", "O", "Cu", "O", "Cu", "Ba", "Ba", "O", "O", "Te", "O", "O"], "fractional_positions": [[0.4552, 0.9311, 0.2834], [0.2846, 0.0402, 0.9972], [0.3030, 0.2500, 0.0000], [0.2286, 0.8932, 0.7149], [0.8282, 0.4311, 0.2834], [0.3280, 0.2680, 0.3268], [0.6720, 0.7320, 0.6732], [0.2067, 0.9291, 0.1196], [0.5448, 0.0689, 0.7166], [0.2785, 0.7500, 0.0000], [0.0046, 0.2998, 0.5345], [0.2222, 0.2143, 0.7784], [0.2796, 0.4207, 0.3899], [0.8898, 0.0793, 0.6101], [0.7126, 0.5402, 0.9972], [0.7215, 0.2500, 0.0000], [0.2874, 0.4598, 0.0028], [0.7204, 0.5793, 0.6101], [0.9092, 0.3364, 0.7708], [0.5299, 0.7998, 0.5345], [0.1718, 0.5689, 0.7166], [0.5561, 0.7143, 0.7784], [0.4862, 0.3932, 0.7149], [0.0870, 0.5709, 0.8804], [0.9130, 0.4291, 0.1196], [0.0012, 0.2320, 0.6732], [0.4439, 0.2857, 0.2216], [0.5000, 0.0000, 0.5000], [0.7154, 0.9598, 0.0028], [0.1383, 0.1636, 0.2292], [0.9988, 0.7680, 0.3268], [0.9954, 0.7002, 0.4655], [0.6970, 0.7500, 0.0000], [0.8617, 0.8364, 0.7708], [0.0000, 0.5000, 0.5000], [0.5138, 0.6068, 0.2851], [0.7714, 0.1068, 0.2851], [0.0908, 0.6636, 0.2292], [0.4701, 0.2002, 0.4655], [0.7933, 0.0709, 0.8804], [0.1102, 0.9207, 0.3899], [0.7778, 0.7857, 0.2216]]}


(11)
{"formula": "Ce3Sn13Ir4", "functional": "SCAN", "state": "single point on PBEsol structure", "formation_energy_ev_per_atom": -0.563, "cell": [[-1.4396, 4.8548, 8.2063], [8.0969, -3.7602, 3.6449], [5.0351, 7.4348, -3.5151]], "species": ["Sn", "Sn", "Sn", "Sn", "Ce", "Sn", "Sn", "Sn", "Ce", "Ir", "Ir", "Sn", "Sn", "Sn", "Sn", "Ir", "Ir", "Sn", "Ir", "Sn", "Sn", "Ce", "Sn", "Sn", "Ir", "Ce", "Sn", "Sn", "Sn", "Sn", "Sn", "Ir", "Sn", "Ir", "Sn", "Ce", "Sn", "Sn", "Ce", "Sn"], "fractional_positions": [[0.0000, 0.6909, 0.1510], [0.8490, 0.0000, 0.3091], [0.5000, 0.6510, 0.8091], [0.6510, 0.8091, 0.5000], [0.5000, 0.0000, 0.2500], [0.8091, 0.5000, 0.3490], [0.5000, 0.6510, 0.1909], [0.1510, 0.0000, 0.3091], [0.7500, 0.5000, 0.0000], [0.7500, 0.7500, 0.7500], [0.2500, 0.7500, 0.7500], [0.5000, 0.5000, 0.5000], [0.1909, 0.5000, 0.3490], [0.6909, 0.8490, 0.0000], [0.1510, 0.0000, 0.6909], [0.7500, 0.7500, 0.2500], [0.2500, 0.2500, 0.7500], [0.3091, 0.8490, 0.0000], [0.7500, 0.2500, 0.7500], [0.3490, 0.1909, 0.5000], [0.5000, 0.3490, 0.8091], [0.2500, 0.5000, 0.0000], [0.0000, 0.3091, 0.1510], [0.3490, 0.8091, 0.5000], [0.7500, 0.2500, 0.2500], [0.5000, 0.0000, 0.7500], [0.0000, 0.3091, 0.8490], [0.8490, 0.0000, 0.6909], [0.0000, 0.0000, 0.0000], [0.6909, 0.1510, 0.0000], [0.3091, 0.1510, 0.0000], [0.2500, 0.7500, 0.2500], [0.8091, 0.5000, 0.6510], [0.2500, 0.2500, 0.2500], [0.5000, 0.3490, 0.1909], [0.0000, 0.2500, 0.5000], [0.6510, 0.1909, 0.5000], [0.0000, 0.6909, 0.8490], [0.0000, 0.7500, 0.5000], [0.1909, 0.5000, 0.6510]]}


(12)
{"formula": "ReAs2P", "functional": "SCAN", "state": "single point on PBEsol structure", "formation_energy_ev_per_atom": 0.160, "cell": [[-0.4020, -2.2986, 1.9033], [-0.0500, -2.8253, -1.0406], [8.2325, -2.2620, 1.3890]], "species": ["Re", "P", "As", "As"], "fractional_positions": [[0.2429, 0.2429, 0.2712], [0.5103, 0.5103, 0.4691], [0.9833, 0.9833, 0.0502], [0.7635, 0.7635, 0.7095]]}


(13)
{"formula": "Tl2ReTe", "functional": "SCAN", "state": "single point on PBEsol structure", "formation_energy_uncorrected_ev_per_fu": 3.38, "cell": [[-0.5388, -0.1515, -2.8256], [2.4967, -1.3791, -0.4021], [-5.6162, -10.6466, 1.6416]], "species": ["Re", "Te", "Tl", "Tl"], "fractional_positions": [[0.5000, 0.5000, 0.0000], [0.5000, 0.5000, 0.5000], [0.0000, 0.0000, 0.1995], [0.0000, 0.0000, 0.8005]]}


(14)
{"formula": "GeP3I", "functional": "SCAN", "state": "single point on PBEsol structure", "formation_energy_uncorrected_ev_per_fu": 5.76, "cell": [[4.7277, 0.0000, 0.0000], [0.0000, 4.7277, 0.0000], [0.0000, 0.0000, 4.7277]], "species": ["Ge", "P", "I", "P", "P"], "fractional_positions": [[0.0000, 0.0000, 0.0000], [0.0000, 0.5000, 0.0000], [0.5000, 0.5000, 0.5000], [0.5000, 0.0000, 0.0000], [0.0000, 0.0000, 0.5000]]}


(15)
{"formula": "LaAlCl2", "functional": "SCAN", "state": "single point on PBEsol structure", "formation_energy_uncorrected_ev_per_fu": -4.89, "cell": [[-0.0140, 3.0504, 2.1527], [-3.8884, 1.1260, -1.6209], [-0.6457, -5.0464, 3.9091]], "species": ["Cl", "Cl", "Al", "La"], "fractional_positions": [[0.9889, 0.9889, 0.9777], [0.2239, 0.7239, 0.4479], [0.7613, 0.2613, 0.5226], [0.5259, 0.5259, 0.0518]]}


(16)
{"formula": "ScCdFe4", "functional": "SCAN", "state": "single point on PBEsol structure", "formation_energy_ev_per_atom": -0.055, "cell": [[-2.5750, -4.0478, -0.6194], [1.3652, -3.2523, -3.3103], [1.8158, -4.2595, 1.3994]], "species": ["Cd", "Fe", "Fe", "Fe", "Sc", "Fe"], "fractional_positions": [[0.0000, 0.0000, 0.0000], [0.6254, 0.6254, 0.1237], [0.1237, 0.6254, 0.6254], [0.6254, 0.6254, 0.6254], [0.2500, 0.2500, 0.2500], [0.6254, 0.1237, 0.6254]]}


(17)
{"formula": "NbSiPt", "functional": "SCAN", "state": "single point on PBEsol structure", "formation_energy_uncorrected_ev_per_fu": -2.86, "cell": [[3.8192, 0.0000, 0.0000], [0.0000, 6.4086, 0.0000], [0.0000, 0.0000, 7.3548]], "species": ["Nb", "Si", "Pt", "Nb", "Nb", "Si", "Nb", "Si", "Si", "Pt", "Pt", "Pt"], "fractional_positions": [[0.7500, 0.4729, 0.6657], [0.7500, 0.7315, 0.1261], [0.2500, 0.1512, 0.5647], [0.2500, 0.5271, 0.3343], [0.2500, 0.0271, 0.1657], [0.7500, 0.2315, 0.3739], [0.7500, 0.9729, 0.8343], [0.2500, 0.2685, 0.8739], [0.2500, 0.7685, 0.6261], [0.7500, 0.8488, 0.4353], [0.7500, 0.3488, 0.0647], [0.2500, 0.6512, 0.9353]]}


Number 1: calculated total energy -15.6957 eV per atom. Number 2: calculated total energy -6.1018 eV per atom. Number 3: calculated total energy -13.8039 eV per atom. Number 4: calculated total energy -32.3132 eV per atom. Number 5: calculated total energy -11.3836 eV per atom. Number 6: calculated total energy -46.1330 eV per atom. Number 7: calculated total energy -8.5908 eV per atom. Number 8: calculated total energy -18.5757 eV per atom. Number 9: calculated total energy -38.1627 eV per atom. Number 10: calculated total energy -15.6972 eV per atom. Number 11: calculated total energy -44.8157 eV per atom. Number 12: calculated total energy -30.3093 eV per atom. Number 13: calculated total energy -62.4201 eV per atom. Number 14: calculated total energy -16.2528 eV per atom. Number 15: calculated total energy -17.9248 eV per atom. Number 16: calculated total energy -19.5834 eV per atom. Number 17: calculated total energy -38.7315 eV per atom.